[1]
Below is a geometry-optimized AcNiP2Ru structure, with properties calculated at the PBE level.

Values from the calculation:
**Density**: 8.21 Mg/m³
**Total energy**: -0.254 Ha/atom
**Formation enthalpy at 0 K**: -0.9064 eV/atom

Cell and atoms, written as extended XYZ:
```
5
Lattice="-1.942 1.942 6.018 1.942 -1.942 6.018 1.942 1.942 -6.018" Properties=species:S:1:pos:R:3 pbc="T T T"
Ac 0.000 0.000 0.000
Ni 0.000 1.942 3.009
P 0.000 0.000 4.270
P 0.000 0.000 7.767
Ru 1.942 0.000 3.009
```

[2]
Below is a geometry-optimized MgZnTc2 structure, with properties calculated at the PBE level.

Values from the calculation:
**Density**: 7.81 Mg/m³
**Total energy**: -0.199 Ha/atom
**Energy relative to the lowest polymorph listed for this composition**: 533.6 meV per atom
**Formation enthalpy at 0 K**: 0.4820 eV/atom

Cell and atoms, written as extended XYZ:
```
4
Lattice="0.000 3.120 3.120 3.120 0.000 3.120 3.120 3.120 0.000" Properties=species:S:1:pos:R:3 pbc="T T T"
Mg 0.000 0.000 0.000
Zn 3.120 3.120 3.120
Tc 1.560 1.560 1.560
Tc 4.679 4.679 4.679
```

[3]
Below is a geometry-optimized Lu2BeRu structure, with properties calculated at the PBE level.

Values from the calculation:
**Density**: 10.23 Mg/m³
**Total energy**: -0.212 Ha/atom
**Formation enthalpy at 0 K**: -0.2603 eV/atom

Cell and atoms, written as extended XYZ:
```
4
Lattice="3.366 0.000 0.000 0.000 3.366 0.000 0.000 0.000 6.592" Properties=species:S:1:pos:R:3 pbc="T T T"
Lu 0.000 0.000 1.613
Lu 0.000 0.000 4.979
Be 1.683 1.683 3.296
Ru 1.683 1.683 0.000
```

[4]
Below is a geometry-optimized Ca3Ag8 structure, with properties calculated at the PBE level.

Values from the calculation:
**Density**: 6.57 Mg/m³
**Total energy**: -0.104 Ha/atom
**Energy relative to the lowest polymorph listed for this composition**: 6.7 meV per atom
**Formation enthalpy at 0 K**: -0.2091 eV/atom

Cell and atoms, written as extended XYZ:
```
11
Lattice="4.094 -2.431 0.000 4.094 2.431 0.000 -2.434 0.000 12.482" Properties=species:S:1:pos:R:3 pbc="T T T"
Ca 0.000 0.000 0.000
Ca 2.888 0.000 4.435
Ca 2.866 0.000 8.047
Ag 0.104 0.000 2.990
Ag 0.161 0.000 6.034
Ag 0.226 0.000 10.433
Ag 2.765 0.000 1.406
Ag 2.988 0.000 11.076
Ag 5.527 0.000 2.049
Ag 5.592 0.000 6.447
Ag 5.650 0.000 9.492
```

How do the records compare in DOS at the Fermi energy? In the order shown, they have 4.317; 4.740; 2.815; 4.221 states/eV per cell.